DFT (GGA-PBE) results for an optimized crystal structure of Mg2CuAu.

The formation energy is 197 meV per atom. Its magnetic moment is 0.000 μB per atom.

The space group is Immm (No. 71) and the conventional cell measures 2.904, 4.885 and 10.814 Å, with angles of 90.00, 90.00 and 90.00 degrees. The distinct sites, in fractional coordinates, are Mg at (0.000, 0.000, 0.246), Cu at (0.000, 0.000, 0.000) and Au at (0.000, 0.000, 0.500).

=====

DFT (GGA-PBE) results for an optimized crystal structure of MgCu2Au7.

The formation energy is 65 meV per atom. Its magnetic moment is 0.000 μB per atom.

The space group is Cmmm (No. 65) and the conventional cell measures 7.495, 12.704 and 4.513 Å, with angles of 90.00, 90.00 and 90.00 degrees. The distinct sites, in fractional coordinates, are Mg at (0.000, 0.000, 0.000), Cu at (0.000, 0.297, 0.500), Au at (0.000, 0.208, 0.000), Au at (0.000, 0.500, 0.500) and Au at (0.187, 0.114, 0.500).

=====

DFT (GGA-PBE) results for an optimized crystal structure of Mg3CuAu6.

The formation energy is -411 meV per atom. Its magnetic moment is 0.000 μB per atom.

The space group is P2_1/m (No. 11) and the conventional cell measures 7.818, 4.683 and 10.078 Å, with angles of 90.00, 108.95 and 90.00 degrees. The distinct sites, in fractional coordinates, are Mg at (0.051, 0.250, 0.388), Mg at (0.147, 0.750, 0.218), Mg at (0.278, 0.250, 0.993), Cu at (0.455, 0.250, 0.578), Au at (0.024, 0.750, 0.917), Au at (0.156, 0.250, 0.678), Au at (0.253, 0.750, 0.512), Au at (0.333, 0.750, 0.829), Au at (0.365, 0.250, 0.298) and Au at (0.448, 0.750, 0.140).

=====

DFT (GGA-PBE) results for an optimized crystal structure of Mg2Cu3Au8.

The formation energy is -104 meV per atom. Its magnetic moment is 0.000 μB per atom.

The space group is C2/m (No. 12) and the conventional cell measures 12.293, 7.265 and 5.398 Å, with angles of 90.00, 103.29 and 90.00 degrees. The distinct sites, in fractional coordinates, are Mg at (0.216, 0.000, 0.246), Cu at (0.000, 0.000, 0.000), Cu at (0.000, 0.171, 0.500), Au at (0.093, 0.500, 0.401), Au at (0.113, 0.305, 0.951) and Au at (0.192, 0.000, 0.722).